Crystalline KTcIr4 at its relaxed geometry, computed with PBE.

Calculated values
crystal system	cubic
DOS(E_F)	1.485	states/eV/atom
calculated total energy	-7.06	eV per atom

a b c (Å): 5.2722 5.2722 5.2722
angles (deg): 60.00 60.00 60.00
Closest atoms and distances in Å follow each position.
Element x y z (fractional)
K (0.0000, 0.0000, 0.0000)  12 Ir 3.09, 4 Tc 3.23
Tc (0.7500, 0.7500, 0.7500)  12 Ir 3.09, 4 K 3.23
Ir (0.3753, 0.3753, 0.3753)  6 Ir 2.63-2.64
Ir (0.3753, 0.3753, 0.8742)  6 Ir 2.63-2.64
Ir (0.3753, 0.8742, 0.3753)  6 Ir 2.63-2.64
Ir (0.8742, 0.3753, 0.3753)  6 Ir 2.63-2.64

Crystalline K2TcIr2 at its relaxed geometry, computed with PBE.

Calculated values
crystal system	tetragonal
DOS(E_F)	1.410	states/eV/atom
calculated total energy	-4.52	eV per atom

a b c (Å): 3.5675 3.5675 15.7673
angles (deg): 90.00 90.00 90.00
Closest atoms and distances in Å follow each position.
Element x y z (fractional)
K (0.0000, 0.5000, 0.2500)  4 K 2.52
K (0.0000, 0.5000, 0.7500)  4 K 2.52
K (0.5000, 0.0000, 0.2500)  4 K 2.52
K (0.5000, 0.0000, 0.7500)  4 K 2.52
Tc (0.0000, 0.0000, 0.0000)  8 Ir 2.83
Tc (0.5000, 0.5000, 0.5000)  8 Ir 2.83
Ir (0.0000, 0.0000, 0.4189)  1 Ir 2.56, 4 Tc 2.83
Ir (0.0000, 0.0000, 0.5811)  1 Ir 2.56, 4 Tc 2.83
Ir (0.5000, 0.5000, 0.0811)  1 Ir 2.56, 4 Tc 2.83
Ir (0.5000, 0.5000, 0.9189)  1 Ir 2.56, 4 Tc 2.83

Crystalline KTc4Ir at its relaxed geometry, computed with PBE.

Calculated values
crystal system	cubic
DOS(E_F)	1.341	states/eV/atom
calculated total energy	-7.59	eV per atom

a b c (Å): 5.2363 5.2363 5.2363
angles (deg): 60.00 60.00 60.00
Closest atoms and distances in Å follow each position.
Element x y z (fractional)
K (0.0000, 0.0000, 0.0000)  12 Tc 3.07, 4 Ir 3.21
Tc (0.1247, 0.6251, 0.6251)  6 Tc 2.62
Tc (0.6251, 0.1247, 0.6251)  6 Tc 2.62
Tc (0.6251, 0.6251, 0.1247)  6 Tc 2.62
Tc (0.6251, 0.6251, 0.6251)  6 Tc 2.62
Ir (0.2500, 0.2500, 0.2500)  12 Tc 3.07, 4 K 3.21

Crystalline KTiTc2Ir at its relaxed geometry, computed with PBE.

Calculated values
crystal system	tetragonal
DOS(E_F)	1.278	states/eV/atom
calculated total energy	-5.13	eV per atom

a b c (Å): 4.3941 4.3941 4.3173
angles (deg): 90.00 90.00 90.00
Closest atoms and distances in Å follow each position.
Element x y z (fractional)
K (0.0000, 0.0000, 0.0000)  2 Ti 2.16, 4 Tc 2.20
Ti (0.0000, 0.0000, 0.5000)  2 K 2.16
Tc (0.0000, 0.5000, 0.0000)  2 K 2.20
Tc (0.5000, 0.0000, 0.0000)  2 K 2.20
Ir (0.5000, 0.5000, 0.5000)  8 Tc 3.08, 4 Ti 3.11